# EuPuSeCl

A relaxed structure of EuPuSeCl (GGA-PBE, the Alexandria database).

a = 5.147 Å, b = 5.147 Å, c = 5.147 Å
α = 60.00°, β = 60.00°, γ = 60.00°
Fractional coordinates of all 4 atoms:
1 Eu 0.750 0.750 0.750
2 Cl 0.000 0.000 0.000
3 Se 0.500 0.500 0.500
4 Pu 0.250 0.250 0.250

=====

# Rb12Eu3Cl5

A relaxed structure of Rb12Eu3Cl5 (GGA-PBE, the Alexandria database).

a = 19.124 Å, b = 19.124 Å, c = 19.124 Å
α = 109.47°, β = 109.47°, γ = 109.47°
Fractional coordinates of all 80 atoms:
1 Eu 0.750 0.375 0.125
2 Eu 0.875 0.750 0.125
3 Eu 0.375 0.750 0.625
4 Eu 0.250 0.125 0.375
5 Eu 0.875 0.125 0.250
6 Eu 0.375 0.625 0.250
7 Eu 0.625 0.375 0.750
8 Eu 0.125 0.875 0.750
9 Eu 0.750 0.875 0.625
10 Eu 0.625 0.250 0.375
11 Eu 0.125 0.250 0.875
12 Eu 0.250 0.625 0.875
13 Rb 0.687 0.100 0.004
14 Rb 0.316 0.504 0.404
15 Rb 0.996 0.400 0.313
16 Rb 0.504 0.187 0.100
17 Rb 0.587 0.687 0.684
18 Rb 0.996 0.596 0.184
19 Rb 0.316 0.813 0.413
20 Rb 0.096 0.913 0.100
21 Rb 0.596 0.996 0.684
22 Rb 0.687 0.587 0.184
23 Rb 0.813 0.496 0.400
24 Rb 0.816 0.904 0.004
25 Rb 0.100 0.687 0.504
26 Rb 0.400 0.404 0.087
27 Rb 0.087 0.904 0.400
28 Rb 0.413 0.100 0.596
29 Rb 0.087 0.184 0.187
30 Rb 0.496 0.684 0.096
31 Rb 0.816 0.913 0.313
32 Rb 0.100 0.413 0.096
33 Rb 0.400 0.996 0.813
34 Rb 0.596 0.600 0.413
35 Rb 0.904 0.816 0.504
36 Rb 0.813 0.316 0.913
37 Rb 0.404 0.400 0.587
38 Rb 0.096 0.184 0.496
39 Rb 0.187 0.684 0.087
40 Rb 0.184 0.087 0.687
41 Rb 0.600 0.004 0.187
42 Rb 0.900 0.587 0.904
43 Rb 0.504 0.316 0.904
44 Rb 0.587 0.900 0.404
45 Rb 0.913 0.816 0.813
46 Rb 0.913 0.096 0.600
47 Rb 0.900 0.313 0.496
48 Rb 0.184 0.096 0.996
49 Rb 0.600 0.596 0.913
50 Rb 0.404 0.004 0.316
51 Rb 0.313 0.413 0.816
52 Rb 0.187 0.504 0.600
53 Rb 0.904 0.087 0.900
54 Rb 0.684 0.187 0.587
55 Rb 0.496 0.813 0.900
56 Rb 0.004 0.404 0.816
57 Rb 0.413 0.313 0.316
58 Rb 0.004 0.600 0.687
59 Rb 0.684 0.496 0.596
60 Rb 0.313 0.900 0.996
61 Cl 0.125 0.375 0.250
62 Cl 0.000 0.500 0.000
63 Cl 0.000 0.000 0.000
64 Cl 0.375 0.250 0.125
65 Cl 0.500 0.000 0.500
66 Cl 0.500 0.500 0.000
67 Cl 0.125 0.750 0.375
68 Cl 0.750 0.125 0.875
69 Cl 0.750 0.625 0.375
70 Cl 0.375 0.125 0.750
71 Cl 0.625 0.875 0.250
72 Cl 0.500 0.500 0.500
73 Cl 0.500 0.000 0.000
74 Cl 0.000 0.000 0.500
75 Cl 0.250 0.375 0.625
76 Cl 0.250 0.875 0.125
77 Cl 0.000 0.500 0.500
78 Cl 0.875 0.250 0.625
79 Cl 0.625 0.750 0.875
80 Cl 0.875 0.625 0.750

=====

# Rb5Eu3Cl12

A relaxed structure of Rb5Eu3Cl12 (GGA-PBE, the Alexandria database).

a = 16.894 Å, b = 16.894 Å, c = 16.894 Å
α = 109.47°, β = 109.47°, γ = 109.47°
Fractional coordinates of all 80 atoms:
1 Eu 0.750 0.375 0.125
2 Eu 0.875 0.750 0.125
3 Eu 0.375 0.750 0.625
4 Eu 0.250 0.125 0.375
5 Eu 0.875 0.125 0.250
6 Eu 0.375 0.625 0.250
7 Eu 0.625 0.375 0.750
8 Eu 0.125 0.875 0.750
9 Eu 0.750 0.875 0.625
10 Eu 0.625 0.250 0.375
11 Eu 0.125 0.250 0.875
12 Eu 0.250 0.625 0.875
13 Rb 0.125 0.375 0.250
14 Rb 0.000 0.500 0.000
15 Rb 0.000 0.000 0.000
16 Rb 0.375 0.250 0.125
17 Rb 0.500 0.000 0.500
18 Rb 0.500 0.500 0.000
19 Rb 0.125 0.750 0.375
20 Rb 0.750 0.125 0.875
21 Rb 0.750 0.625 0.375
22 Rb 0.375 0.125 0.750
23 Rb 0.625 0.875 0.250
24 Rb 0.500 0.500 0.500
25 Rb 0.500 0.000 0.000
26 Rb 0.000 0.000 0.500
27 Rb 0.250 0.375 0.625
28 Rb 0.250 0.875 0.125
29 Rb 0.000 0.500 0.500
30 Rb 0.875 0.250 0.625
31 Rb 0.625 0.750 0.875
32 Rb 0.875 0.625 0.750
33 Cl 0.631 0.184 0.996
34 Cl 0.366 0.496 0.312
35 Cl 0.004 0.316 0.369
36 Cl 0.496 0.131 0.184
37 Cl 0.446 0.631 0.634
38 Cl 0.004 0.688 0.134
39 Cl 0.366 0.869 0.554
40 Cl 0.188 0.054 0.184
41 Cl 0.688 0.004 0.634
42 Cl 0.631 0.446 0.134
43 Cl 0.869 0.504 0.316
44 Cl 0.866 0.812 0.996
45 Cl 0.184 0.631 0.496
46 Cl 0.316 0.312 0.946
47 Cl 0.946 0.812 0.316
48 Cl 0.554 0.184 0.688
49 Cl 0.946 0.134 0.131
50 Cl 0.504 0.634 0.188
51 Cl 0.866 0.054 0.369
52 Cl 0.184 0.554 0.188
53 Cl 0.316 0.004 0.869
54 Cl 0.688 0.684 0.554
55 Cl 0.812 0.866 0.496
56 Cl 0.869 0.366 0.054
57 Cl 0.312 0.316 0.446
58 Cl 0.188 0.134 0.504
59 Cl 0.131 0.634 0.946
60 Cl 0.134 0.946 0.631
61 Cl 0.684 0.996 0.131
62 Cl 0.816 0.446 0.812
63 Cl 0.496 0.366 0.812
64 Cl 0.446 0.816 0.312
65 Cl 0.054 0.866 0.869
66 Cl 0.054 0.188 0.684
67 Cl 0.816 0.369 0.504
68 Cl 0.134 0.188 0.004
69 Cl 0.684 0.688 0.054
70 Cl 0.312 0.996 0.366
71 Cl 0.369 0.554 0.866
72 Cl 0.131 0.496 0.684
73 Cl 0.812 0.946 0.816
74 Cl 0.634 0.131 0.446
75 Cl 0.504 0.869 0.816
76 Cl 0.996 0.312 0.866
77 Cl 0.554 0.369 0.366
78 Cl 0.996 0.684 0.631
79 Cl 0.634 0.504 0.688
80 Cl 0.369 0.816 0.004

=====

no.,E (eV per atom),magnetic moment (μB/cell),uncorrected formation energy (eV/atom)
1,-8.858,13.984,-1.374
2,-3.268,97.224,-0.685
3,-4.886,80.000,-1.995